<a>
Material: Ti2AlB
Method: DFT, GGA-PBE
State: relaxed

Cell: 5.3756 5.3756 5.3756 Å, 103.39 103.39 122.47°
Last column: nearest neighbours and their distance in Å.
Fractional positions:
Ti  0.0814  0.1250  0.4564  2 B 2.26
Ti  0.3750  0.9186  0.0436  2 B 2.26
Ti  0.6686  0.6250  0.5436  2 B 2.26
Ti  0.8750  0.3314  0.9564  2 B 2.26
Al  0.2500  0.7500  0.5000  2 B 2.59, 4 Ti 2.65
Al  0.5000  0.5000  0.0000  2 B 2.59, 4 Ti 2.65
B  0.0000  0.0000  0.0000  4 Ti 2.26
B  0.7500  0.2500  0.5000  4 Ti 2.26

Values from the calculation:
Symmetry   I-42d, No. 122

---

<b>
Material: Ti2AlB
Method: DFT, GGA-PBE
State: relaxed

Cell: 4.2462 4.2462 4.2462 Å, 60.00 60.00 60.00°
Last column: nearest neighbours and their distance in Å.
Fractional positions:
Ti  0.2500  0.2500  0.2500  4 B 2.60, 4 Al 2.60
Ti  0.7500  0.7500  0.7500  4 Al 2.60, 4 B 2.60
Al  0.0000  0.0000  0.0000  8 Ti 2.60
B  0.5000  0.5000  0.5000  8 Ti 2.60

Values from the calculation:
Symmetry   Fm-3m, No. 225

---

Stability check: which of them is least stable? <b>.

---

<a>
Material: TiAl3B
Method: DFT, GGA-PBE
State: relaxed

Cell: 4.9978 4.9978 4.9978 Å, 90.00 90.00 90.00°
Last column: nearest neighbours and their distance in Å.
Fractional positions:
Ti  0.0000  0.0000  0.0000  6 Al 2.50
Al  0.0000  0.0000  0.5000  2 Ti 2.50
Al  0.0000  0.5000  0.0000  2 Ti 2.50
Al  0.5000  0.0000  0.0000  2 Ti 2.50
B  0.5000  0.5000  0.5000  12 Al 3.53

Values from the calculation:
Symmetry   Pm-3m, No. 221

---

<b>
Material: TiAl3B
Method: DFT, GGA-PBE
State: relaxed

Cell: 4.2183 4.2183 4.2183 Å, 90.00 90.00 90.00°
Last column: nearest neighbours and their distance in Å.
Fractional positions:
Ti  0.0000  0.0000  0.0000  12 Al 2.98
Al  0.0000  0.5000  0.5000  2 B 2.11
Al  0.5000  0.0000  0.5000  2 B 2.11
Al  0.5000  0.5000  0.0000  2 B 2.11
B  0.5000  0.5000  0.5000  6 Al 2.11

Values from the calculation:
Symmetry   Pm-3m, No. 221

---

Stability check: which of them is least stable? <a>.